[1]
{
  "formula": "Ba4Sr5Li",
  "functional": "PBE",
  "state": "relaxed",
  "sg": "I4mm, No. 107",
  "relative_energy_ev_per_fu": 0.467,
  "lattice_angstrom": [[-0.227, 6.189, -1.772], [-6.439, 4.791, 5.848], [6.823, 5.073, 5.131]],
  "species": ["Ba", "Ba", "Sr", "Sr", "Sr", "Ba", "Li", "Sr", "Ba", "Sr"],
  "frac_coords": [[0.498, 0.676, 0.324], [0.498, 0.324, 0.676], [0.826, 0.346, 0.000], [0.172, 0.000, 0.654], [0.510, 0.000, 0.000], [0.822, 0.676, 0.676], [0.013, 0.000, 0.000], [0.826, 0.000, 0.346], [0.174, 0.324, 0.324], [0.172, 0.654, 0.000]]
}

[2]
{
  "formula": "Ba12Sr7Li",
  "functional": "PBE",
  "state": "relaxed",
  "sg": "R-3, No. 148",
  "relative_energy_ev_per_fu": 0.000,
  "lattice_angstrom": [[-2.506, 2.569, 11.208], [-7.785, -7.670, -4.367], [10.964, -4.163, -0.979]],
  "species": ["Ba", "Ba", "Ba", "Sr", "Li", "Sr", "Sr", "Ba", "Ba", "Ba", "Ba", "Sr", "Ba", "Sr", "Sr", "Ba", "Sr", "Ba", "Ba", "Ba"],
  "frac_coords": [[0.342, 0.765, 0.400], [0.427, 0.916, 0.122], [0.235, 0.600, 0.658], [0.196, 0.038, 0.307], [0.000, 0.000, 0.000], [0.500, 0.500, 0.500], [0.804, 0.962, 0.693], [0.084, 0.878, 0.573], [0.765, 0.400, 0.342], [0.573, 0.084, 0.878], [0.122, 0.427, 0.916], [0.693, 0.804, 0.962], [0.658, 0.235, 0.600], [0.038, 0.307, 0.196], [0.962, 0.693, 0.804], [0.916, 0.122, 0.427], [0.307, 0.196, 0.038], [0.600, 0.658, 0.235], [0.400, 0.342, 0.765], [0.878, 0.573, 0.084]]
}

[3]
{
  "formula": "Ba5Sr4Li2",
  "functional": "PBE",
  "state": "relaxed",
  "sg": "Pbam, No. 55",
  "e_tot_ev_per_cell": -39.8,
  "lattice_angstrom": [[4.739, 0.000, 0.000], [0.000, 10.637, 0.000], [0.000, 0.000, 23.331]],
  "species": ["Li", "Sr", "Sr", "Li", "Ba", "Sr", "Ba", "Ba", "Sr", "Li", "Ba", "Ba", "Sr", "Ba", "Sr", "Ba", "Ba", "Ba", "Li", "Sr", "Sr", "Ba"],
  "frac_coords": [[0.500, 0.970, 0.199], [0.500, 0.297, 0.563], [0.500, 0.076, 0.350], [0.500, 0.530, 0.699], [0.000, 0.257, 0.216], [0.500, 0.424, 0.850], [0.000, 0.743, 0.784], [0.000, 0.500, 0.000], [0.500, 0.797, 0.937], [0.500, 0.030, 0.801], [0.000, 0.243, 0.716], [0.000, 0.880, 0.086], [0.500, 0.703, 0.437], [0.000, 0.120, 0.914], [0.500, 0.924, 0.650], [0.000, 0.380, 0.414], [0.000, 0.757, 0.284], [0.000, 0.000, 0.500], [0.500, 0.470, 0.301], [0.500, 0.203, 0.063], [0.500, 0.576, 0.150], [0.000, 0.620, 0.586]]
}